Crystalline SiPNF2 at its relaxed geometry, computed with GGA-PBE.

Lattice parameters (Å, degrees): 4.462 4.462 3.314 90.00 90.00 90.00
Fractional coordinates of all 5 atoms:
Si 0.500 0.500 0.500
F 0.000 0.500 0.000
F 0.500 0.000 0.000
P 0.000 0.000 0.000
N 0.000 0.000 0.500

Values from the calculation:
* uncorrected formation energy: -0.100 eV per atom
* energy relative to the lowest polymorph listed for this composition: 280.1 meV per atom
* magnetic moment: 0.0 μB/f.u.
* SG: P4/mmm (123)
* crystal system: tetragonal


Crystalline SnPN2F at its relaxed geometry, computed with GGA-PBE.

Lattice parameters (Å, degrees): 3.625 3.625 4.428 90.00 90.00 90.00
Fractional coordinates of all 5 atoms:
F 0.000 0.000 0.500
P 0.000 0.000 0.000
N 0.500 0.000 0.000
Sn 0.500 0.500 0.500
N 0.000 0.500 0.000

Values from the calculation:
* uncorrected formation energy: 0.155 eV per atom
* energy relative to the lowest polymorph listed for this composition: 0.0 meV per atom
* magnetic moment: 0.0 μB/f.u.
* SG: P4/mmm (123)
* crystal system: tetragonal


Crystalline SnPN2F at its relaxed geometry, computed with GGA-PBE.

Lattice parameters (Å, degrees): 4.162 4.162 4.003 90.00 90.00 90.00
Fractional coordinates of all 5 atoms:
Sn 0.000 0.000 0.000
N 0.000 0.500 0.000
P 0.500 0.500 0.500
F 0.000 0.000 0.500
N 0.500 0.000 0.000

Values from the calculation:
* uncorrected formation energy: 0.833 eV per atom
* energy relative to the lowest polymorph listed for this composition: 678.3 meV per atom
* magnetic moment: 0.0 μB/f.u.
* SG: P4/mmm (123)
* crystal system: tetragonal


Crystalline SrPNF2 at its relaxed geometry, computed with GGA-PBE.

Lattice parameters (Å, degrees): 4.562 4.562 5.500 90.00 90.00 90.00
Last column: magnetic moment on the atom in μB.
Fractional coordinates of all 5 atoms:
N 0.000 0.000 0.500  1.51
Sr 0.000 0.000 0.000  0.02
F 0.000 0.500 0.000  0.01
P 0.500 0.500 0.500  -0.30
F 0.500 0.000 0.000  0.01

Values from the calculation:
* uncorrected formation energy: -0.413 eV per atom
* energy relative to the lowest polymorph listed for this composition: 1001.1 meV per atom
* magnetic moment: 1.6 μB/f.u.
* SG: P4/mmm (123)
* crystal system: tetragonal


Crystalline SrPNF2 at its relaxed geometry, computed with GGA-PBE.

Lattice parameters (Å, degrees): 4.509 4.509 3.569 90.00 90.00 90.00
Fractional coordinates of all 5 atoms:
F 0.000 0.500 0.000
P 0.000 0.000 0.000
N 0.000 0.000 0.500
F 0.500 0.000 0.000
Sr 0.500 0.500 0.500

Values from the calculation:
* uncorrected formation energy: -1.414 eV per atom
* energy relative to the lowest polymorph listed for this composition: 0.0 meV per atom
* magnetic moment: 0.0 μB/f.u.
* SG: P4/mmm (123)
* crystal system: tetragonal


Crystalline Te2PNF at its relaxed geometry, computed with GGA-PBE.

Lattice parameters (Å, degrees): 5.409 5.409 3.227 90.00 90.00 90.00
Fractional coordinates of all 5 atoms:
Te 0.000 0.500 0.000
Te 0.500 0.000 0.000
F 0.500 0.500 0.500
N 0.000 0.000 0.500
P 0.000 0.000 0.000

Values from the calculation:
* uncorrected formation energy: 0.294 eV per atom
* energy relative to the lowest polymorph listed for this composition: 0.0 meV per atom
* magnetic moment: 0.0 μB/f.u.
* SG: P4/mmm (123)
* crystal system: tetragonal


Crystalline Te2PNF at its relaxed geometry, computed with GGA-PBE.

Lattice parameters (Å, degrees): 4.967 4.967 3.741 90.00 90.00 90.00
Fractional coordinates of all 5 atoms:
F 0.000 0.000 0.000
N 0.000 0.000 0.500
P 0.500 0.500 0.500
Te 0.000 0.500 0.000
Te 0.500 0.000 0.000

Values from the calculation:
* uncorrected formation energy: 1.277 eV per atom
* energy relative to the lowest polymorph listed for this composition: 983.0 meV per atom
* magnetic moment: 0.0 μB/f.u.
* SG: P4/mmm (123)
* crystal system: tetragonal


Crystalline TiPN2F at its relaxed geometry, computed with GGA-PBE.

Lattice parameters (Å, degrees): 4.019 4.019 3.751 90.00 90.00 90.00
Fractional coordinates of all 5 atoms:
F 0.000 0.000 0.500
Ti 0.000 0.000 0.000
N 0.500 0.000 0.000
N 0.000 0.500 0.000
P 0.500 0.500 0.500

Values from the calculation:
* uncorrected formation energy: -0.093 eV per atom
* energy relative to the lowest polymorph listed for this composition: 0.0 meV per atom
* magnetic moment: 0.0 μB/f.u.
* SG: P4/mmm (123)
* crystal system: tetragonal


Crystalline TiPNF2 at its relaxed geometry, computed with GGA-PBE.

Lattice parameters (Å, degrees): 4.484 4.484 3.319 90.00 90.00 90.00
Last column: magnetic moment on the atom in μB.
Fractional coordinates of all 5 atoms:
P 0.000 0.000 0.000  -0.03
Ti 0.500 0.500 0.500  2.01
F 0.000 0.500 0.000  0.01
F 0.500 0.000 0.000  0.01
N 0.000 0.000 0.500  0.01

Values from the calculation:
* uncorrected formation energy: -0.387 eV per atom
* energy relative to the lowest polymorph listed for this composition: 584.2 meV per atom
* magnetic moment: 2.4 μB/f.u.
* SG: P4/mmm (123)
* crystal system: tetragonal


Crystalline TiPN2F at its relaxed geometry, computed with GGA-PBE.

Lattice parameters (Å, degrees): 3.628 3.628 3.671 90.00 90.00 90.00
Last column: magnetic moment on the atom in μB.
Fractional coordinates of all 5 atoms:
N 0.500 0.000 0.000  0.05
Ti 0.500 0.500 0.500  -1.35
N 0.000 0.500 0.000  0.05
P 0.000 0.000 0.000  -0.04
F 0.000 0.000 0.500  -0.03

Values from the calculation:
* uncorrected formation energy: -0.052 eV per atom
* energy relative to the lowest polymorph listed for this composition: 41.1 meV per atom
* magnetic moment: 1.5 μB/f.u.
* SG: P4/mmm (123)
* crystal system: tetragonal


Crystalline TiPNF2 at its relaxed geometry, computed with GGA-PBE.

Lattice parameters (Å, degrees): 3.909 3.909 4.159 90.00 90.00 90.00
Last column: magnetic moment on the atom in μB.
Fractional coordinates of all 5 atoms:
Ti 0.000 0.000 0.000  0.37
P 0.500 0.500 0.500  0.72
F 0.000 0.500 0.000  0.06
N 0.000 0.000 0.500  -0.12
F 0.500 0.000 0.000  0.06

Values from the calculation:
* uncorrected formation energy: -0.971 eV per atom
* energy relative to the lowest polymorph listed for this composition: 0.0 meV per atom
* magnetic moment: 1.9 μB/f.u.
* SG: P4/mmm (123)
* crystal system: tetragonal


Crystalline TlPNF2 at its relaxed geometry, computed with GGA-PBE.

Lattice parameters (Å, degrees): 4.690 4.690 3.330 90.00 90.00 90.00
Fractional coordinates of all 5 atoms:
Tl 0.500 0.500 0.500
N 0.000 0.000 0.500
P 0.000 0.000 0.000
F 0.000 0.500 0.000
F 0.500 0.000 0.000

Values from the calculation:
* uncorrected formation energy: -0.720 eV per atom
* energy relative to the lowest polymorph listed for this composition: 0.0 meV per atom
* magnetic moment: 0.0 μB/f.u.
* SG: P4/mmm (123)
* crystal system: tetragonal


- Among the records above, which one has the lowest uncorrected formation energy?
  number 5